[1]
6
Lattice="-2.617 4.512 -0.404 -2.505 -1.053 4.471 5.094 3.280 3.627" Properties=species:S:1:pos:R:3 comment="KBiPd2Pb2, relaxed, DFT PBE" ef_ev_per_atom=-0.1210 crystal_system=tetragonal final_energy_ev_per_atom=-3.9178 pbc="T T T"
Pb -1.399 2.478 2.861
Pd -1.252 -0.526 2.235
Bi 0.000 0.000 0.000
Pd -1.309 2.256 -0.202
Pb 1.371 4.261 4.833
K 2.547 1.640 1.813

=====

[2]
6
Lattice="5.229 0.000 0.000 0.000 5.229 0.000 0.000 0.000 6.933" Properties=species:S:1:pos:R:3 comment="KBi2Pd2Pb, relaxed, DFT PBE" ef_ev_per_atom=-0.1248 crystal_system=tetragonal final_energy_ev_per_atom=-3.9503 pbc="T T T"
Bi 2.615 2.615 1.581
Pd 2.615 0.000 0.000
K 0.000 0.000 3.467
Pb 0.000 0.000 0.000
Pd 0.000 2.615 0.000
Bi 2.615 2.615 5.352